# PBE-GGA NbZn2, optimized geometry
# - energy of formation (eV/atom) = -0.16
# - E (eV per atom) = -4.366
# - crystal system = hexagonal
data_NbZn2
_space_group_name_H-M_alt 'P 63/m m c'
_space_group_IT_number 194
_space_group_name_Hall '-P 6c 2c'
_cell_length_a 5.0513
_cell_length_b 5.0513
_cell_length_c 16.3077
_cell_angle_alpha 90.00
_cell_angle_beta 90.00
_cell_angle_gamma 120.00
loop_
_atom_site_label
_atom_site_type_symbol
_atom_site_fract_x
_atom_site_fract_y
_atom_site_fract_z
Nb1 Nb 0.0000 0.0000 0.0907
Nb2 Nb 0.3333 0.6667 0.1569
Zn1 Zn 0.0000 0.5000 0.0000
Zn2 Zn 0.1606 0.3212 0.7500
Zn3 Zn 0.3333 0.6667 0.6269